VASP calculation (PBE) on a geometry-optimized RbPd2S structure.

Structure (POSCAR):
```
RbPd2S
1.0
6.834 0.000 0.000
0.000 6.834 0.000
0.000 0.000 6.834
Rb Pd S
4 8 4
Cartesian
0.000 0.000 0.000
0.000 3.417 3.417
3.417 0.000 3.417
3.417 3.417 0.000
1.709 1.709 1.709
1.709 1.709 5.126
1.709 5.126 1.709
1.709 5.126 5.126
5.126 1.709 1.709
5.126 1.709 5.126
5.126 5.126 1.709
5.126 5.126 5.126
0.000 0.000 3.417
0.000 3.417 0.000
3.417 0.000 0.000
3.417 3.417 3.417
```

Results
Relative energy among the computed polymorphs ... 0.8785 eV/atom
SG ... No. 225

=====

VASP calculation (PBE) on a geometry-optimized Rb2Pd3S2 structure.

Structure (POSCAR):
```
Rb2Pd3S2
1.0
0.000 5.348 17.543
4.092 0.000 17.543
4.092 5.348 0.000
Rb Pd S
8 12 8
Cartesian
2.932 2.061 6.143
5.252 4.735 14.915
3.206 5.961 6.143
3.206 2.061 20.171
4.978 8.635 14.915
4.978 4.735 28.943
2.932 5.961 20.171
5.252 8.635 28.943
0.000 0.000 0.000
2.046 2.674 0.000
2.046 0.000 8.772
2.805 2.702 9.267
3.332 2.702 17.048
3.332 5.320 9.267
5.378 5.376 18.038
0.000 2.674 8.772
2.805 5.320 17.048
4.851 5.376 25.819
4.851 7.994 18.038
5.378 7.994 25.819
4.001 1.163 15.484
2.136 1.163 10.830
6.047 3.837 19.602
4.001 6.859 10.830
4.182 3.837 24.256
2.136 6.859 15.484
6.047 9.533 24.256
4.182 9.533 19.602
```

Results
SG ... No. 70

=====

VASP calculation (PBE) on a geometry-optimized Rb2PdS4 structure.

Structure (POSCAR):
```
Rb2PdS4
1.0
4.950 0.000 0.000
0.000 4.950 0.000
0.000 0.000 16.388
Rb Pd S
4 2 8
Cartesian
0.000 0.000 2.384
0.000 0.000 14.004
2.475 2.475 5.810
2.475 2.475 10.578
0.000 0.000 8.194
2.475 2.475 0.000
0.000 0.000 5.872
0.000 0.000 10.517
0.000 2.475 0.000
0.000 2.475 8.194
2.475 0.000 0.000
2.475 0.000 8.194
2.475 2.475 2.323
2.475 2.475 14.066
```

Results
SG ... No. 139

=====

Per-record total magnetic moment, μB per cell: 0.0, 0.0, 5.2
Per-record energy relative to the elements, uncorrected, meV/atom: 375, -257, -245